This record from the Alexandria database describes an optimized crystal structure of CaHfIrPd. The functional is PBE-GGA.

Results
The value obtained for the energy is -7.114 eV/atom.

Geometry as CIF:
```
data_CaHfIrPd
_cell_length_a 6.6990
_cell_length_b 6.6990
_cell_length_c 6.6990
_cell_angle_alpha 90.00
_cell_angle_beta 90.00
_cell_angle_gamma 90.00
_space_group_name_H-M_alt 'P 1'
_space_group_IT_number 1
loop_
_space_group_symop_operation_xyz
'x,y,z'
loop_
_atom_site_label
_atom_site_fract_x
_atom_site_fract_y
_atom_site_fract_z
_atom_site_occupancy
Ca1 0.0000 0.0000 0.0000 1
Ca2 0.0000 0.5000 0.5000 1
Ca3 0.5000 0.0000 0.5000 1
Ca4 0.5000 0.5000 0.0000 1
Hf1 0.0000 0.0000 0.5000 1
Hf2 0.0000 0.5000 0.0000 1
Hf3 0.5000 0.0000 0.0000 1
Hf4 0.5000 0.5000 0.5000 1
Ir1 0.2500 0.2500 0.7500 1
Ir2 0.2500 0.7500 0.2500 1
Ir3 0.7500 0.2500 0.2500 1
Ir4 0.7500 0.7500 0.7500 1
Pd1 0.2500 0.2500 0.2500 1
Pd2 0.2500 0.7500 0.7500 1
Pd3 0.7500 0.2500 0.7500 1
Pd4 0.7500 0.7500 0.2500 1
```

This record from the Alexandria database describes an optimized crystal structure of K2SrAg2. The functional is PBE-GGA.

Results
As for the offset from the most stable computed form: 0.106 eV per atom.

Geometry as CIF:
```
data_K2SrAg2
_cell_length_a 9.6125
_cell_length_b 9.6125
_cell_length_c 3.9003
_cell_angle_alpha 90.00
_cell_angle_beta 90.00
_cell_angle_gamma 90.00
_space_group_name_H-M_alt 'P 1'
_space_group_IT_number 1
loop_
_space_group_symop_operation_xyz
'x,y,z'
loop_
_atom_site_label
_atom_site_fract_x
_atom_site_fract_y
_atom_site_fract_z
_atom_site_occupancy
K1 0.1223 0.3777 0.0000 1
K2 0.3777 0.8777 0.0000 1
K3 0.6223 0.1223 0.0000 1
K4 0.8777 0.6223 0.0000 1
Sr1 0.0000 0.0000 0.0000 1
Sr2 0.5000 0.5000 0.0000 1
Ag1 0.1810 0.6810 0.5000 1
Ag2 0.3190 0.1810 0.5000 1
Ag3 0.6810 0.8190 0.5000 1
Ag4 0.8190 0.3190 0.5000 1
```

This record from the Alexandria database describes an optimized crystal structure of Ho5NiAg4. The functional is PBE-GGA.

Results
The value obtained for the energy is -4.349 eV/atom.

Geometry as CIF:
```
data_Ho5NiAg4
_cell_length_a 3.5446
_cell_length_b 3.5446
_cell_length_c 18.1593
_cell_angle_alpha 90.00
_cell_angle_beta 90.00
_cell_angle_gamma 90.00
_space_group_name_H-M_alt 'P 1'
_space_group_IT_number 1
loop_
_space_group_symop_operation_xyz
'x,y,z'
loop_
_atom_site_label
_atom_site_fract_x
_atom_site_fract_y
_atom_site_fract_z
_atom_site_occupancy
Ho1 0.0000 0.0000 0.0000 1
Ho2 0.0000 0.0000 0.2056 1
Ho3 0.0000 0.0000 0.4116 1
Ho4 0.0000 0.0000 0.5884 1
Ho5 0.0000 0.0000 0.7944 1
Ni1 0.5000 0.5000 0.5000 1
Ag1 0.5000 0.5000 0.1027 1
Ag2 0.5000 0.5000 0.3071 1
Ag3 0.5000 0.5000 0.6929 1
Ag4 0.5000 0.5000 0.8973 1
```